Ca6Si2Au: optimized geometry, PBE.

```
data_Ca6Si2Au
_cell_length_a 8.779
_cell_length_b 8.779
_cell_length_c 8.779
_cell_angle_alpha 112.35
_cell_angle_beta 110.70
_cell_angle_gamma 105.44
_symmetry_space_group_name_H-M 'P 1'
_symmetry_Int_Tables_number 1
loop_
_symmetry_equiv_pos_as_xyz
'x,y,z'
loop_
_atom_site_label
_atom_site_type_symbol
_atom_site_fract_x
_atom_site_fract_y
_atom_site_fract_z
Ca1 Ca 0.020 0.825 0.195
Ca2 Ca 0.246 0.547 0.301
Ca3 Ca 0.246 0.944 0.699
Ca4 Ca 0.270 0.319 0.589
Ca5 Ca 0.270 0.681 0.951
Ca6 Ca 0.370 0.175 0.195
Ca7 Ca 0.630 0.825 0.805
Ca8 Ca 0.730 0.319 0.049
Ca9 Ca 0.730 0.681 0.411
Ca10 Ca 0.754 0.056 0.301
Ca11 Ca 0.754 0.453 0.699
Ca12 Ca 0.980 0.175 0.805
Si1 Si 0.000 0.133 0.133
Si2 Si 0.000 0.867 0.867
Si3 Si 0.389 0.389 0.000
Si4 Si 0.611 0.611 0.000
Au1 Au 0.000 0.500 0.500
Au2 Au 0.500 0.000 0.500
```

Output
ΔE_f (raw) = -0.420 eV/atom